1.
ZnNiHPt2 | Alexandria via LeMat-Bulk | PBE-GGA | relaxed; energy relative to the lowest polymorph listed for this composition = 0.139 eV per atom
1.0
-3.7652 0.1898 -1.0125
-0.5458 -3.6215 1.3508
-0.8798 1.4546 3.5445
Zn Pt Ni H
1 2 1 1
Cartesian
-0.4399 0.7273 1.7722 Zn
-0.2729 -1.8108 0.6754 Pt
-1.8826 0.0949 -0.5062 Pt
-2.5954 -0.9886 1.9414 Ni
0.0000 0.0000 0.0000 H

2.
ZrNiHPt2 | Alexandria via LeMat-Bulk | PBE-GGA | relaxed; calculated total energy = -6.420 eV per atom
1.0
4.0150 0.0000 0.0000
0.0000 4.0150 0.0000
0.0000 0.0000 4.0882
Zr H Pt Ni
1 1 2 1
Cartesian
2.0075 2.0075 2.0441 Zr
0.0000 0.0000 0.0000 H
0.0000 2.0075 0.0000 Pt
2.0075 0.0000 0.0000 Pt
0.0000 0.0000 2.0441 Ni

3.
PuNi2H8 | Alexandria via LeMat-Bulk | PBE-GGA | relaxed; energy relative to the lowest polymorph listed for this composition = 0.096 eV per atom
1.0
-2.8198 -2.7051 -1.0754
2.7367 -2.9738 0.3047
-1.2128 2.1896 5.3090
H Ni Pu
8 2 1
Cartesian
-0.4722 -4.6072 1.0041 H
-0.8238 1.1179 3.5342 H
-0.4265 -1.4943 1.4266 H
-0.8693 -1.9951 3.1117 H
-1.9723 -2.9770 0.8371 H
1.0736 -3.1244 1.5936 H
-2.3694 -0.3650 2.9447 H
0.6764 -0.5122 3.7012 H
0.7412 -1.8118 2.6142 Ni
-2.0371 -1.6775 1.9241 Ni
-0.0416 -2.8394 -0.3854 Pu

4.
PuNiH | Alexandria via LeMat-Bulk | PBE-GGA | relaxed; energy relative to the lowest polymorph listed for this composition = 0.000 eV per atom
1.0
-3.2660 -1.3716 -0.8264
0.2792 -2.3375 2.7763
-1.5062 3.2726 0.5207
H Pu Ni
1 1 1
Cartesian
-0.8575 -0.6949 1.8874 H
-3.0895 0.4876 0.7213 Pu
-0.5459 -0.2293 -0.1381 Ni

5.
Pu3NiH6 | Alexandria via LeMat-Bulk | PBE-GGA | relaxed; calculated total energy = -7.105 eV per atom
1.0
-5.2332 0.6343 -2.0232
0.6250 -5.6585 -3.3909
-2.4766 -1.2179 6.0242
H Pu Ni
12 6 2
Cartesian
-2.2222 -4.2232 1.2553 H
-3.8104 -5.3229 -2.0189 H
-2.7500 -5.0716 -4.2314 H
-2.8147 -3.3196 3.9126 H
-2.9637 -1.3367 5.3716 H
-2.0626 -4.1039 -1.2210 H
-1.7316 -2.4013 0.5576 H
-3.1991 -3.0524 -2.8884 H
-5.9054 -2.0311 1.4896 H
-4.8410 -3.9029 0.2505 H
-2.2033 -1.0491 3.0431 H
-4.3504 -2.0810 -0.4472 H
-3.6793 -2.5532 1.6916 Pu
-5.4546 -3.4405 -1.8737 Pu
-5.6715 -0.3549 -0.3848 Pu
-2.4033 -1.6049 -1.3511 Pu
-6.7569 -4.3856 1.1588 Pu
-3.4887 -5.6357 0.1925 Pu
-7.1130 -1.3841 2.3302 Ni
-2.5060 -4.5508 -2.6999 Ni

6.
PuNi2H8 | Alexandria via LeMat-Bulk | PBE-GGA | relaxed; energy relative to the lowest polymorph listed for this composition = 0.000 eV per atom
1.0
3.9714 0.2320 0.3482
-0.2471 4.5224 -0.2073
-0.2471 -1.9331 4.0937
H Ni Pu
8 2 1
Cartesian
-0.0781 1.3011 0.0361 H
2.7423 1.4676 2.2028 H
1.7386 0.2053 2.9204 H
1.7386 2.6161 1.3142 H
3.5553 1.5202 4.1985 H
0.7350 1.3537 2.0318 H
-0.0781 -0.4678 1.2147 H
3.5553 3.2891 3.0199 H
-0.2471 2.4001 1.2067 Ni
-0.2471 0.1892 2.6797 Ni
1.9857 0.1160 0.1741 Pu

> Number 6 is which compound?

PuNi2H8